Here is a geometry-optimized NaLa8Tc2 structure from Alexandria. Energies are from PBE-GGA.

Cell lengths 9.5027, 9.5027, 5.0569 Å; angles 100.87, 100.87, 57.97 degrees
Last column: nearest neighbours and their distance in Å.
Atoms (fractional coordinates):
1 Na 0.0000 0.0000 0.0000  4 La 3.40
2 La 0.0943 0.6409 0.5897  1 Tc 2.64
3 La 0.2369 0.2369 0.9868  1 Tc 2.68
4 La 0.3591 0.9057 0.4103  1 Tc 2.64
5 La 0.4431 0.4431 0.1980  3 La 3.04-3.36, 2 Tc 3.14-3.32
6 La 0.5569 0.5569 0.8020  3 La 3.04-3.36, 2 Tc 3.14-3.32
7 La 0.6409 0.0943 0.5897  1 Tc 2.64
8 La 0.7631 0.7631 0.0132  1 Tc 2.68
9 La 0.9057 0.3591 0.4103  1 Tc 2.64
10 Tc 0.3197 0.3197 0.5875  3 La 2.64-2.68
11 Tc 0.6803 0.6803 0.4125  3 La 2.64-2.68

Properties
For the formation energy, the calculation gives 2.21 kcal/mol of atoms. As for the calculated volume: 34.37 Å³ per atom. The density of states at the Fermi level comes out at 1.11 states/eV/atom. The value obtained for the raw total energy is -60.42 eV/cell.



Here is a geometry-optimized Na2LaTc structure from Alexandria. Energies are from PBE-GGA.

Cell lengths 12.6969, 12.6969, 12.6969 Å; angles 161.63, 161.63, 26.09 degrees
Last column: nearest neighbours and their distance in Å.
Atoms (fractional coordinates):
1 Na 0.1017 0.1250 0.4767  4 Na 2.74-3.00
2 Na 0.3750 0.8983 0.0233  4 Na 2.74-3.00
3 Na 0.6483 0.6250 0.5233  4 Na 2.74-3.00
4 Na 0.8750 0.3517 0.9767  4 Na 2.74-3.00
5 La 0.2500 0.7500 0.5000  4 Tc 2.87
6 La 0.5000 0.5000 0.0000  4 Tc 2.87
7 Tc 0.0000 0.0000 0.0000  4 La 2.87
8 Tc 0.7500 0.2500 0.5000  4 La 2.87

Properties
For the formation energy, the calculation gives 14.33 kcal/mol of atoms. As for the calculated volume: 25.39 Å³ per atom. The density of states at the Fermi level comes out at 1.27 states/eV/atom. The value obtained for the raw total energy is -30.89 eV/cell. The calculation puts the excess energy over the best structure of this formula in the dataset at 0 meV per atom.



Here is a geometry-optimized NaLaTc2Te structure from Alexandria. Energies are from PBE-GGA.

Cell lengths 4.8479, 4.8479, 5.7447 Å; angles 90.00, 90.00, 90.00 degrees
Last column: nearest neighbours and their distance in Å.
Atoms (fractional coordinates):
1 Na 0.0000 0.0000 0.0000  2 La 2.87
2 La 0.0000 0.0000 0.5000  4 Tc 2.42
3 Tc 0.0000 0.5000 0.5000  2 La 2.42
4 Tc 0.5000 0.0000 0.5000  2 La 2.42
5 Te 0.5000 0.5000 0.0000  4 Na 3.43, 8 Tc 3.76

Properties
Its formation energy (no corrections) is 1.37 eV per atom. As for the calculated volume: 27.00 Å³ per atom. The density of states at the Fermi level comes out at 0.99 states/eV/atom. The value obtained for the raw total energy is -23.28 eV/cell.



Here is a geometry-optimized NaLa2TlTc structure from Alexandria. Energies are from PBE-GGA.

Cell lengths 5.4099, 5.4099, 5.5500 Å; angles 90.00, 90.00, 90.00 degrees
Last column: nearest neighbours and their distance in Å.
Atoms (fractional coordinates):
1 Na 0.0000 0.0000 0.0000  4 Tl 3.83, 8 La 3.88
2 La 0.0000 0.5000 0.5000  2 Tc 2.70
3 La 0.5000 0.0000 0.5000  2 Tc 2.70
4 Tl 0.5000 0.5000 0.0000  2 Tc 2.77
5 Tc 0.5000 0.5000 0.5000  4 La 2.70, 2 Tl 2.77

Properties
For the formation energy, the calculation gives 0.09 kcal/mol of atoms. As for the calculated volume: 32.49 Å³ per atom. The density of states at the Fermi level comes out at 0.84 states/eV/atom. The value obtained for the raw total energy is -23.89 eV/cell.



What did the third record say?
Here is a geometry-optimized NaLaTc2Te structure from Alexandria. Energies are from PBE-GGA.

Cell lengths 4.8479, 4.8479, 5.7447 Å; angles 90.00, 90.00, 90.00 degrees
Last column: nearest neighbours and their distance in Å.
Atoms (fractional coordinates):
1 Na 0.0000 0.0000 0.0000  2 La 2.87
2 La 0.0000 0.0000 0.5000  4 Tc 2.42
3 Tc 0.0000 0.5000 0.5000  2 La 2.42
4 Tc 0.5000 0.0000 0.5000  2 La 2.42
5 Te 0.5000 0.5000 0.0000  4 Na 3.43, 8 Tc 3.76

Properties
Its formation energy (no corrections) is 1.37 eV per atom. As for the calculated volume: 27.00 Å³ per atom. The density of states at the Fermi level comes out at 0.99 states/eV/atom. The value obtained for the raw total energy is -23.28 eV/cell.



Number 2 is which compound? Na2LaTc



The lowest calculated volume belongs to which entry? Na2LaTc



The lowest raw total energy belongs to which entry? NaLa8Tc2